[1]
10
Lattice="-2.699 0.934 -6.566 -0.470 -7.098 -0.816 -3.880 0.072 1.605" Properties=species:S:1:pos:R:3 comment="ScSn2P2, relaxed, DFT PBE-GGA" spacegroup=P4/mbm ef_ev_per_atom=-0.28 pbc="T T T"
P -1.273 -5.567 -2.825
P -2.549 -4.001 -5.982
P -1.896 -0.597 -4.556
P -0.619 -2.163 -1.400
Sn -4.388 -1.634 -5.039
Sn -2.948 -0.729 -1.598
Sn -2.661 -4.458 -0.737
Sn -4.101 -5.363 -4.178
Sc 0.000 0.000 0.000
Sc -1.584 -3.082 -3.691


[2]
5
Lattice="5.469 0.000 0.000 0.000 5.469 0.000 0.000 0.000 5.469" Properties=species:S:1:pos:R:3 comment="ScSn3P, relaxed, DFT PBE-GGA" spacegroup=Pm-3m e_above_lowest_polymorph_mev_per_atom=415 ef_ev_per_atom=0.79 pbc="T T T"
Sn 2.735 0.000 0.000
Sn 0.000 2.735 0.000
Sn 0.000 0.000 2.735
P 2.735 2.735 2.735
Sc 0.000 0.000 0.000


[3]
5
Lattice="-0.283 3.620 -3.371 -2.348 -3.070 -3.100 -4.354 1.421 1.891" Properties=species:S:1:pos:R:3 comment="ScSnP3, relaxed, DFT PBE-GGA" spacegroup=Pm-3m e_above_lowest_polymorph_mev_per_atom=404 ef_ev_per_atom=0.72 pbc="T T T"
P -1.174 -1.535 -1.550
P -0.141 1.810 -1.685
P -2.177 0.710 0.945
Sn 0.000 0.000 0.000
Sc -3.492 0.986 -2.290


[4]
5
Lattice="-5.604 0.296 -0.794 -0.438 -4.662 1.355 -0.677 1.629 5.387" Properties=species:S:1:pos:R:3 comment="ScTl2SnP, relaxed, DFT PBE-GGA" spacegroup=P4/mmm ef_ev_per_atom=0.29 pbc="T T T"
Sn -3.360 -1.368 2.974
Tl -0.338 0.815 2.693
Tl -2.802 0.148 -0.397
Sc 0.000 0.000 0.000
P -0.219 -2.331 0.677


[5]
3
Lattice="-1.032 3.165 -2.914 0.935 -4.087 -1.412 -4.752 -1.213 0.365" Properties=species:S:1:pos:R:3 comment="SrScP, relaxed, DFT PBE-GGA" spacegroup=P3m1 e_above_lowest_polymorph_mev_per_atom=198 ef_ev_per_atom=-0.72 pbc="T T T"
Sc -1.254 0.524 -2.346
Sr -2.993 -2.505 -1.661
P -0.602 -0.154 0.046


[6]
4
Lattice="0.310 -1.655 5.954 5.216 -0.060 -3.328 2.078 2.266 1.488" Properties=species:S:1:pos:R:3 comment="SrSc2P, relaxed, DFT PBE-GGA" spacegroup=C2/m ef_ev_per_atom=-0.01 pbc="T T T"
Sr 1.039 1.133 0.744
Sc 0.155 -0.827 2.977
Sc 2.608 -0.030 -1.664
P 3.802 0.275 2.057


[7]
8
Lattice="6.005 0.000 0.000 0.000 6.005 0.000 3.003 3.003 7.030" Properties=species:S:1:pos:R:3 comment="SrScP2, relaxed, DFT PBE-GGA" spacegroup=I-42d e_above_lowest_polymorph_mev_per_atom=400 ef_ev_per_atom=-0.67 pbc="T T T"
P 1.968 4.504 1.758
P 7.507 7.041 5.273
P 4.504 4.970 5.273
P 4.038 1.501 1.758
Sc 3.003 6.005 3.515
Sc 3.003 3.003 0.000
Sr 6.005 3.003 3.515
Sr 0.000 0.000 0.000


[8]
4
Lattice="-2.219 -0.833 2.727 0.697 -3.509 -0.504 6.021 0.471 5.043" Properties=species:S:1:pos:R:3 comment="SrSc2P, relaxed, DFT PBE-GGA" spacegroup=P4mm ef_ev_per_atom=-0.52 pbc="T T T"
Sc 0.336 -2.085 2.030
Sc 5.670 0.443 4.748
P 4.253 -1.779 5.310
Sr 3.273 0.256 2.741


Electronic total energy for the records above, in order: -0.1952, -0.1456, -0.1688, -0.1398, -0.1907, -0.1820, -0.1977, -0.2005 hartree per atom